Entry 1:
{"formula": "CsUTe4Pt", "functional": "PBE", "state": "relaxed", "cell": [[-3.4991, -1.8750, -6.3557], [0.3911, -6.1024, 1.5849], [-7.4876, 1.4386, 7.3869]], "species": ["Cs", "Cs", "U", "U", "Te", "Te", "Te", "Te", "Te", "Te", "Te", "Te", "Pt", "Pt"], "frac_coords": [[0.7912, 0.7500, 0.9504], [0.2088, 0.2500, 0.0496], [0.7270, 0.7500, 0.4484], [0.2730, 0.2500, 0.5516], [0.0160, 0.5019, 0.6885], [0.9840, 0.0019, 0.3115], [0.9840, 0.4981, 0.3115], [0.0160, 0.9981, 0.6885], [0.4707, 0.7500, 0.1715], [0.5293, 0.2500, 0.8285], [0.4282, 0.7500, 0.5997], [0.5718, 0.2500, 0.4003], [0.2819, 0.7500, 0.3443], [0.7181, 0.2500, 0.6557]], "spacegroup": "P2_1/m, No. 11", "e_form_raw_ev_per_atom": -0.58, "dos_at_fermi_per_ev_fu": 8.3, "magmom_total_mub_per_atom": 0.20}



Entry 2:
{"formula": "Cs3U3Te8Pt", "functional": "PBE", "state": "relaxed", "cell": [[-4.5040, 7.2113, 0.2485], [-4.0036, -7.6165, 2.9977], [7.4877, 4.4667, 6.0945]], "species": ["Cs", "Cs", "Cs", "U", "U", "U", "Te", "Te", "Te", "Te", "Te", "Te", "Te", "Te", "Pt"], "frac_coords": [[0.0000, 0.0000, 0.0000], [0.0000, 0.5000, 0.0000], [0.5000, 0.5000, 0.0000], [0.5000, 0.0000, 0.5000], [0.5000, 0.5000, 0.5000], [0.0000, 0.5000, 0.5000], [0.2710, 0.5420, 0.3060], [0.7290, 0.4580, 0.6940], [0.6981, 0.3963, 0.2650], [0.3019, 0.6037, 0.7350], [0.8037, 0.0414, 0.3351], [0.1963, 0.9586, 0.6649], [0.2377, 0.0415, 0.3352], [0.7623, 0.9585, 0.6648], [0.0000, 0.0000, 0.5000]], "spacegroup": "C2/m, No. 12", "e_form_raw_ev_per_atom": -0.72, "dos_at_fermi_per_ev_fu": 13.6, "magmom_total_mub_per_atom": 0.47}



Entry 3:
{"formula": "CsUTe3Pt", "functional": "PBE", "state": "relaxed", "cell": [[-1.0107, -4.0625, 0.6416], [9.1229, 0.0350, 0.6139], [-0.7389, 1.9009, 10.8719]], "species": ["Cs", "Cs", "U", "U", "Te", "Te", "Te", "Te", "Te", "Te", "Pt", "Pt"], "frac_coords": [[0.7496, 0.4991, 0.7500], [0.2504, 0.5009, 0.2500], [0.0000, 0.0000, 0.5000], [0.0000, 0.0000, 0.0000], [0.6188, 0.2375, 0.4440], [0.3812, 0.7625, 0.5560], [0.3812, 0.7625, 0.9440], [0.6188, 0.2375, 0.0560], [0.0654, 0.1308, 0.7500], [0.9346, 0.8692, 0.2500], [0.4734, 0.9468, 0.7500], [0.5266, 0.0532, 0.2500]], "spacegroup": "Cmcm, No. 63", "e_form_raw_ev_per_atom": -0.76, "dos_at_fermi_per_ev_fu": 5.2, "magmom_total_mub_per_atom": 0.23}



What is the formula in the first record? CsUTe4Pt



Which formula does entry 1 have? CsUTe4Pt